Record 1
# NaSmGdRu

A relaxed structure of NaSmGdRu (GGA-PBE, the Alexandria database).

Results
The value obtained for the energy of formation is 0.03 eV per atom. The value obtained for the density is 7.60 g/cm³.

a = 7.2252 Å, b = 7.2252 Å, c = 7.2252 Å
α = 90.00°, β = 90.00°, γ = 90.00°
Space group F-43m (No. 216)
One atom of each set of equivalent atoms:
Na 0.0000 0.0000 0.0000
Sm 0.2500 0.2500 0.7500
Gd 0.2500 0.2500 0.2500
Ru 0.0000 0.0000 0.5000

---

Record 2
# Ce2FeSn

A relaxed structure of Ce2FeSn (GGA-PBE, the Alexandria database).

Results
The value obtained for the energy of formation is -0.44 eV per atom. The value obtained for the density is 7.73 g/cm³. The polymorph energy (0 for the lowest one) is 0.0 meV/atom.

a = 6.9592 Å, b = 5.0297 Å, c = 11.1593 Å
α = 90.00°, β = 90.00°, γ = 90.00°
Space group Pnma (No. 62)
One atom of each set of equivalent atoms:
Ce 0.0897 0.2500 0.2285
Ce 0.1681 0.2500 0.5714
Fe 0.1789 0.7500 0.5941
Sn 0.1786 0.2500 0.8760

---

Record 3
# PrSm2Re

A relaxed structure of PrSm2Re (GGA-PBE, the Alexandria database).

Results
The value obtained for the energy of formation is 0.87 eV per atom. The value obtained for the density is 9.43 g/cm³.

a = 3.3078 Å, b = 3.3078 Å, c = 34.9882 Å
α = 90.00°, β = 90.00°, γ = 120.00°
Space group R-3m (No. 166, hexagonal axes)
One atom of each set of equivalent atoms:
Pr 0.0000 0.0000 0.0000
Sm 0.0000 0.0000 0.4239
Re 0.0000 0.0000 0.5000

---

Record 4
# ScHgPb3

A relaxed structure of ScHgPb3 (GGA-PBE, the Alexandria database).

Results
The value obtained for the energy of formation is -0.07 eV per atom. The value obtained for the density is 9.89 g/cm³. The polymorph energy (0 for the lowest one) is 0.0 meV/atom.

a = 3.3704 Å, b = 3.4299 Å, c = 12.6672 Å
α = 90.24°, β = 96.34°, γ = 90.11°
Space group P1 (No. 1)
One atom of each set of equivalent atoms:
Sc 0.0000 0.0000 0.0000
Hg 0.5349 0.5134 0.6020
Pb 0.4240 0.4961 0.8340
Pb 0.5570 0.5011 0.1702
Pb 0.7686 0.0022 0.4023

---

Record 5
# TmZnGa

A relaxed structure of TmZnGa (GGA-PBE, the Alexandria database).

Results
The value obtained for the energy of formation is -0.39 eV per atom. The value obtained for the density is 7.99 g/cm³.

a = 6.3228 Å, b = 6.3228 Å, c = 6.3228 Å
α = 90.00°, β = 90.00°, γ = 90.00°
Space group F-43m (No. 216)
One atom of each set of equivalent atoms:
Tm 0.0000 0.0000 0.0000
Zn 0.2500 0.2500 0.2500
Ga 0.0000 0.0000 0.5000

---

Record 6
# Ho6ErTmSc2

A relaxed structure of Ho6ErTmSc2 (GGA-PBE, the Alexandria database).

Results
The value obtained for the energy of formation is 0.13 eV per atom. The value obtained for the density is 7.84 g/cm³.

a = 8.8726 Å, b = 14.6580 Å, c = 9.2988 Å
α = 90.00°, β = 97.12°, γ = 90.00°
Space group C2/c (No. 15)
One atom of each set of equivalent atoms:
Ho 0.0613 0.1818 0.4458
Ho 0.1004 0.3963 0.6174
Ho 0.2095 0.2272 0.8182
Er 0.0000 0.0258 0.7500
Tm 0.0000 0.4077 0.2500
Sc 0.2501 0.0536 0.0466

---

Record 7
# KSn

A relaxed structure of KSn (GGA-PBE, the Alexandria database).

Results
The value obtained for the energy of formation is -0.15 eV per atom. The value obtained for the density is 3.68 g/cm³.

a = 3.9725 Å, b = 5.0257 Å, c = 7.4016 Å
α = 90.00°, β = 105.58°, γ = 90.00°
Space group P2_1/m (No. 11)
One atom of each set of equivalent atoms:
K 0.1630 0.2500 0.3253
Sn 0.4393 0.2500 0.8777

---

Record 8
# PuSiPb2

A relaxed structure of PuSiPb2 (GGA-PBE, the Alexandria database).

Results
As for the formation energy from raw total energies: -0.018 eV per atom. The value obtained for the density is 11.43 g/cm³.

a = 4.5663 Å, b = 4.5663 Å, c = 4.7844 Å
α = 90.00°, β = 90.00°, γ = 90.00°
Space group P4/mmm (No. 123)
One atom of each set of equivalent atoms:
Pu 0.0000 0.0000 0.0000
Si 0.5000 0.5000 0.0000
Pb 0.0000 0.5000 0.5000